VASP calculation (PBE-GGA) on an optimized crystal structure of MnCoBr2.

Summary:
magnetization	1.55	μB/atom
relative energy among the computed polymorphs	44.6	kJ per mole of atoms
ΔE_f (raw)	0.38	eV/atom

Geometry as POSCAR:
```
MnCoBr2
1.0
4.875 0.000 0.000
0.000 3.792 0.000
-0.147 0.000 4.904
Mn Co Br
1 1 2
direct
0.000 0.000 0.000
0.500 0.000 0.500
0.265 0.500 0.735
0.735 0.500 0.265
```